SnI2BrO: optimized geometry, PBE.

Its polymorph energy (0 for the lowest one) is 0 meV/atom. The calculation puts the density of states at the Fermi level at 7.0 states/eV per cell. As for the space group: P4/mmm, No. 123. Its crystal system is tetragonal. The total energy comes out at -2.905 eV per atom. For the formation energy without anion corrections, the calculation gives -0.158 eV per atom.

a = 6.0773 Å, b = 6.0773 Å, c = 3.9879 Å
α = 90.00°, β = 90.00°, γ = 90.00°
Closest atoms and distances in Å follow each position.
Element x y z (fractional)
1 Sn 0.0000 0.0000 0.0000  2 O 1.99
2 I 0.0000 0.5000 0.0000  2 Sn 3.04
3 I 0.5000 0.0000 0.0000  2 Sn 3.04
4 Br 0.5000 0.5000 0.5000  8 I 3.63, 2 Br 3.99
5 O 0.0000 0.0000 0.5000  2 Sn 1.99

AcNd5Dy: optimized geometry, PBE.

The calculation puts the density of states at the Fermi level at 20.6 states/eV per cell. As for the space group: C2/c, No. 15. Its crystal system is monoclinic. The total energy comes out at -4.562 eV per atom. Its formation energy is 8 kJ/mol of atoms.

a = 6.7829 Å, b = 6.7829 Å, c = 11.8445 Å
α = 102.40°, β = 102.40°, γ = 97.10°
Closest atoms and distances in Å follow each position.
Element x y z (fractional)
1 Ac 0.0000 0.5000 0.0000  6 Nd 3.53-3.78
2 Ac 0.5000 0.0000 0.5000  6 Nd 3.53-3.78
3 Nd 0.0667 0.2758 0.5343  6 Nd 3.39-3.73, 2 Dy 3.50-3.58, 1 Ac 3.72
4 Nd 0.0808 0.9192 0.2500  6 Nd 3.39-3.73, 1 Dy 3.45, 2 Ac 3.53
5 Nd 0.2758 0.0667 0.0343  6 Nd 3.39-3.73, 2 Dy 3.50-3.58, 1 Ac 3.72
6 Nd 0.3022 0.4463 0.3311  4 Nd 3.41-3.73, 2 Dy 3.61-3.70, 1 Ac 3.78
7 Nd 0.4463 0.3022 0.8311  4 Nd 3.41-3.73, 2 Dy 3.61-3.70, 1 Ac 3.78
8 Nd 0.5537 0.6978 0.1689  4 Nd 3.41-3.73, 2 Dy 3.61-3.70, 1 Ac 3.78
9 Nd 0.6978 0.5537 0.6689  4 Nd 3.41-3.73, 2 Dy 3.61-3.70, 1 Ac 3.78
10 Nd 0.7242 0.9333 0.9657  6 Nd 3.39-3.73, 2 Dy 3.50-3.58, 1 Ac 3.72
11 Nd 0.9192 0.0808 0.7500  6 Nd 3.39-3.73, 1 Dy 3.45, 2 Ac 3.53
12 Nd 0.9333 0.7242 0.4657  6 Nd 3.39-3.73, 2 Dy 3.50-3.58, 1 Ac 3.72
13 Dy 0.2588 0.7412 0.7500  9 Nd 3.45-3.70
14 Dy 0.7412 0.2588 0.2500  9 Nd 3.45-3.70

KLa2Mo: optimized geometry, PBE.

Its polymorph energy (0 for the lowest one) is 0 meV/atom. The calculation puts the density of states at the Fermi level at 9.2 states/eV per cell. As for the space group: Cmmm, No. 65. Its crystal system is orthorhombic. The total energy comes out at -5.090 eV per atom. Its formation energy is 34 kJ/mol of atoms.

a = 4.5620 Å, b = 5.6795 Å, c = 11.1779 Å
α = 90.00°, β = 90.00°, γ = 90.00°
Closest atoms and distances in Å follow each position.
Element x y z (fractional)
1 K 0.0000 0.0000 0.0000  4 K 3.64
2 K 0.5000 0.5000 0.0000  4 K 3.64
3 La 0.0000 0.5000 0.3400  2 Mo 2.90
4 La 0.0000 0.5000 0.6600  2 Mo 2.90
5 La 0.5000 0.0000 0.3400  2 Mo 2.90
6 La 0.5000 0.0000 0.6600  2 Mo 2.90
7 Mo 0.0000 0.0000 0.5000  4 La 2.90
8 Mo 0.5000 0.5000 0.5000  4 La 2.90

PmZn2SiIr2: optimized geometry, PBE.

The calculation puts the density of states at the Fermi level at 4.7 states/eV per cell. As for the space group: P4/mmm, No. 123. Its crystal system is tetragonal. The total energy comes out at -5.354 eV per atom. For the formation energy without anion corrections, the calculation gives -0.280 eV per atom.

a = 4.4864 Å, b = 4.4864 Å, c = 5.6817 Å
α = 90.00°, β = 90.00°, γ = 90.00°
Closest atoms and distances in Å follow each position.
Element x y z (fractional)
1 Pm 0.0000 0.0000 0.0000  2 Si 2.84
2 Zn 0.5000 0.5000 0.2256  1 Zn 2.56, 4 Ir 2.73
3 Zn 0.5000 0.5000 0.7744  1 Zn 2.56, 4 Ir 2.73
4 Si 0.0000 0.0000 0.5000  4 Ir 2.24
5 Ir 0.0000 0.5000 0.5000  2 Si 2.24
6 Ir 0.5000 0.0000 0.5000  2 Si 2.24

La2YTh: optimized geometry, PBE.

Its polymorph energy (0 for the lowest one) is 178 meV/atom. The calculation puts the density of states at the Fermi level at 48.7 states/eV per cell. As for the space group: Fm-3m, No. 225. Its crystal system is cubic. The total energy comes out at -5.732 eV per atom. Its formation energy is 20 kJ/mol of atoms.

a = 8.2299 Å, b = 8.2299 Å, c = 8.2299 Å
α = 90.00°, β = 90.00°, γ = 90.00°
Closest atoms and distances in Å follow each position.
Element x y z (fractional)
1 La 0.2500 0.2500 0.2500  4 Th 3.56, 4 Y 3.56
2 La 0.2500 0.2500 0.7500  4 Th 3.56, 4 Y 3.56
3 La 0.2500 0.7500 0.2500  4 Th 3.56, 4 Y 3.56
4 La 0.2500 0.7500 0.7500  4 Th 3.56, 4 Y 3.56
5 La 0.7500 0.2500 0.2500  4 Th 3.56, 4 Y 3.56
6 La 0.7500 0.2500 0.7500  4 Th 3.56, 4 Y 3.56
7 La 0.7500 0.7500 0.2500  4 Th 3.56, 4 Y 3.56
8 La 0.7500 0.7500 0.7500  4 Th 3.56, 4 Y 3.56
9 Y 0.0000 0.0000 0.0000  8 La 3.56
10 Y 0.0000 0.5000 0.5000  8 La 3.56
11 Y 0.5000 0.0000 0.5000  8 La 3.56
12 Y 0.5000 0.5000 0.0000  8 La 3.56
13 Th 0.0000 0.0000 0.5000  8 La 3.56
14 Th 0.0000 0.5000 0.0000  8 La 3.56
15 Th 0.5000 0.0000 0.0000  8 La 3.56
16 Th 0.5000 0.5000 0.5000  8 La 3.56

Y3ErN3: optimized geometry, PBE.

The calculation puts the density of states at the Fermi level at 2.3 states/eV per cell. As for the space group: R-3, No. 148. Its crystal system is trigonal. The total energy comes out at -8.217 eV per atom. For the formation energy without anion corrections, the calculation gives -1.227 eV per atom.

a = 9.2728 Å, b = 9.2728 Å, c = 9.2728 Å
α = 38.56°, β = 38.56°, γ = 38.56°
Closest atoms and distances in Å follow each position.
Element x y z (fractional)
1 Y 0.0799 0.3984 0.7172  3 N 2.21-2.39
2 Y 0.2828 0.9201 0.6016  3 N 2.21-2.39
3 Y 0.3984 0.7172 0.0799  3 N 2.21-2.39
4 Y 0.6016 0.2828 0.9201  3 N 2.21-2.39
5 Y 0.7172 0.0799 0.3984  3 N 2.21-2.39
6 Y 0.9201 0.6016 0.2828  3 N 2.21-2.39
7 Er 0.1667 0.1667 0.1667  6 N 2.46
8 Er 0.8333 0.8333 0.8333  6 N 2.46
9 N 0.0732 0.8091 0.4410  3 Y 2.21-2.39, 2 Er 2.46
10 N 0.1909 0.5590 0.9268  3 Y 2.21-2.39, 2 Er 2.46
11 N 0.4410 0.0732 0.8091  3 Y 2.21-2.39, 2 Er 2.46
12 N 0.5590 0.9268 0.1909  3 Y 2.21-2.39, 2 Er 2.46
13 N 0.8091 0.4410 0.0732  3 Y 2.21-2.39, 2 Er 2.46
14 N 0.9268 0.1909 0.5590  3 Y 2.21-2.39, 2 Er 2.46

SmEuYHg: optimized geometry, PBE.

The calculation puts the density of states at the Fermi level at 20.3 states/eV per cell. As for the space group: F-43m, No. 216. Its crystal system is cubic. The total energy comes out at -5.499 eV per atom. Its formation energy is -6 kJ/mol of atoms.

a = 7.7854 Å, b = 7.7854 Å, c = 7.7854 Å
α = 90.00°, β = 90.00°, γ = 90.00°
Closest atoms and distances in Å follow each position.
Element x y z (fractional)
1 Sm 0.0000 0.0000 0.0000  4 Hg 3.37, 4 Eu 3.37
2 Sm 0.0000 0.5000 0.5000  4 Hg 3.37, 4 Eu 3.37
3 Sm 0.5000 0.0000 0.5000  4 Hg 3.37, 4 Eu 3.37
4 Sm 0.5000 0.5000 0.0000  4 Hg 3.37, 4 Eu 3.37
5 Eu 0.2500 0.2500 0.7500  4 Sm 3.37, 4 Y 3.37
6 Eu 0.2500 0.7500 0.2500  4 Sm 3.37, 4 Y 3.37
7 Eu 0.7500 0.2500 0.2500  4 Sm 3.37, 4 Y 3.37
8 Eu 0.7500 0.7500 0.7500  4 Sm 3.37, 4 Y 3.37
9 Y 0.0000 0.0000 0.5000  4 Hg 3.37, 4 Eu 3.37
10 Y 0.0000 0.5000 0.0000  4 Hg 3.37, 4 Eu 3.37
11 Y 0.5000 0.0000 0.0000  4 Hg 3.37, 4 Eu 3.37
12 Y 0.5000 0.5000 0.5000  4 Hg 3.37, 4 Eu 3.37
13 Hg 0.2500 0.2500 0.2500  4 Sm 3.37, 4 Y 3.37
14 Hg 0.2500 0.7500 0.7500  4 Sm 3.37, 4 Y 3.37
15 Hg 0.7500 0.2500 0.7500  4 Sm 3.37, 4 Y 3.37
16 Hg 0.7500 0.7500 0.2500  4 Sm 3.37, 4 Y 3.37

KGaTe3: optimized geometry, PBE.

Its polymorph energy (0 for the lowest one) is 365 meV/atom. The calculation puts the density of states at the Fermi level at 5.3 states/eV per cell. As for the space group: Pm-3m, No. 221. Its crystal system is cubic. The total energy comes out at -2.888 eV per atom. For the formation energy without anion corrections, the calculation gives -0.178 eV per atom.

a = 5.5616 Å, b = 5.5616 Å, c = 5.5616 Å
α = 90.00°, β = 90.00°, γ = 90.00°
Closest atoms and distances in Å follow each position.
Element x y z (fractional)
1 K 0.0000 0.0000 0.0000  12 Te 3.93
2 Ga 0.5000 0.5000 0.5000  6 Te 2.78
3 Te 0.0000 0.5000 0.5000  2 Ga 2.78
4 Te 0.5000 0.0000 0.5000  2 Ga 2.78
5 Te 0.5000 0.5000 0.0000  2 Ga 2.78

La2Ga2Cu: optimized geometry, PBE.

Its polymorph energy (0 for the lowest one) is 112 meV/atom. The calculation puts the density of states at the Fermi level at 13.5 states/eV per cell. As for the space group: P4/mbm, No. 127. Its crystal system is tetragonal. The total energy comes out at -4.393 eV per atom. Its formation energy is -38 kJ/mol of atoms.

a = 7.0023 Å, b = 7.0023 Å, c = 4.8670 Å
α = 90.00°, β = 90.00°, γ = 90.00°
Closest atoms and distances in Å follow each position.
Element x y z (fractional)
1 La 0.1700 0.3300 0.0000  6 Ga 3.09-3.26, 1 La 3.37
2 La 0.3300 0.8300 0.0000  6 Ga 3.09-3.26, 1 La 3.37
3 La 0.6700 0.1700 0.0000  6 Ga 3.09-3.26, 1 La 3.37
4 La 0.8300 0.6700 0.0000  6 Ga 3.09-3.26, 1 La 3.37
5 Ga 0.1375 0.6375 0.5000  2 Cu 2.71, 1 Ga 2.72
6 Ga 0.3625 0.1375 0.5000  2 Cu 2.71, 1 Ga 2.72
7 Ga 0.6375 0.8625 0.5000  2 Cu 2.71, 1 Ga 2.72
8 Ga 0.8625 0.3625 0.5000  2 Cu 2.71, 1 Ga 2.72
9 Cu 0.0000 0.0000 0.5000  4 Ga 2.71
10 Cu 0.5000 0.5000 0.5000  4 Ga 2.71

FeCuPd6: optimized geometry, PBE.

Its polymorph energy (0 for the lowest one) is 272 meV/atom. The calculation puts the density of states at the Fermi level at 15.7 states/eV per cell. As for the space group: C2/m, No. 12. Its crystal system is monoclinic. The total energy comes out at -5.271 eV per atom. Its formation energy is 19 kJ/mol of atoms.

a = 7.5197 Å, b = 5.2894 Å, c = 7.1086 Å
α = 90.00°, β = 109.95°, γ = 90.00°
Closest atoms and distances in Å follow each position.
Element x y z (fractional)
1 Fe 0.0000 0.0000 0.0000  10 Pd 2.62-2.89
2 Fe 0.5000 0.5000 0.0000  10 Pd 2.62-2.89
3 Cu 0.0000 0.5000 0.5000  6 Pd 2.54-2.55
4 Cu 0.5000 0.0000 0.5000  6 Pd 2.54-2.55
5 Pd 0.1440 0.0000 0.4327  1 Cu 2.55, 7 Pd 2.65-2.84
6 Pd 0.1939 0.2441 0.8038  1 Cu 2.54, 6 Pd 2.58-2.84, 2 Fe 2.62-2.67
7 Pd 0.1939 0.7559 0.8038  1 Cu 2.54, 6 Pd 2.58-2.84, 2 Fe 2.62-2.67
8 Pd 0.3061 0.2559 0.1962  1 Cu 2.54, 6 Pd 2.58-2.84, 2 Fe 2.62-2.67
9 Pd 0.3061 0.7441 0.1962  1 Cu 2.54, 6 Pd 2.58-2.84, 2 Fe 2.62-2.67
10 Pd 0.3560 0.5000 0.5673  1 Cu 2.55, 7 Pd 2.65-2.84
11 Pd 0.6440 0.5000 0.4327  1 Cu 2.55, 7 Pd 2.65-2.84
12 Pd 0.6939 0.2559 0.8038  1 Cu 2.54, 6 Pd 2.58-2.84, 2 Fe 2.62-2.67
13 Pd 0.6939 0.7441 0.8038  1 Cu 2.54, 6 Pd 2.58-2.84, 2 Fe 2.62-2.67
14 Pd 0.8061 0.2441 0.1962  1 Cu 2.54, 6 Pd 2.58-2.84, 2 Fe 2.62-2.67
15 Pd 0.8061 0.7559 0.1962  1 Cu 2.54, 6 Pd 2.58-2.84, 2 Fe 2.62-2.67
16 Pd 0.8560 0.0000 0.5673  1 Cu 2.55, 7 Pd 2.65-2.84

Nd3AgPd3: optimized geometry, PBE.

Its polymorph energy (0 for the lowest one) is 0 meV/atom. The calculation puts the density of states at the Fermi level at 9.4 states/eV per cell. As for the space group: Cmcm, No. 63. Its crystal system is orthorhombic. The total energy comes out at -5.364 eV per atom. Its formation energy is -66 kJ/mol of atoms.

a = 5.7727 Å, b = 5.7727 Å, c = 14.8485 Å
α = 90.00°, β = 90.00°, γ = 137.77°
Closest atoms and distances in Å follow each position.
Element x y z (fractional)
1 Nd 0.0548 0.9452 0.7500  7 Pd 2.96-3.20
2 Nd 0.3254 0.6746 0.6007  6 Pd 3.08-3.11, 2 Ag 3.18
3 Nd 0.3254 0.6746 0.8993  6 Pd 3.08-3.11, 2 Ag 3.18
4 Nd 0.6746 0.3254 0.1007  6 Pd 3.08-3.11, 2 Ag 3.18
5 Nd 0.6746 0.3254 0.3993  6 Pd 3.08-3.11, 2 Ag 3.18
6 Nd 0.9452 0.0548 0.2500  7 Pd 2.96-3.20
7 Ag 0.0000 0.0000 0.0000  4 Pd 2.86, 4 Nd 3.18
8 Ag 0.0000 0.0000 0.5000  4 Pd 2.86, 4 Nd 3.18
9 Pd 0.2199 0.7801 0.2500  2 Pd 2.82, 5 Nd 2.96-3.08
10 Pd 0.3859 0.6141 0.1030  1 Pd 2.82, 2 Ag 2.86, 6 Nd 3.08-3.11
11 Pd 0.3859 0.6141 0.3970  1 Pd 2.82, 2 Ag 2.86, 6 Nd 3.08-3.11
12 Pd 0.6141 0.3859 0.6030  1 Pd 2.82, 2 Ag 2.86, 6 Nd 3.08-3.11
13 Pd 0.6141 0.3859 0.8970  1 Pd 2.82, 2 Ag 2.86, 6 Nd 3.08-3.11
14 Pd 0.7801 0.2199 0.7500  2 Pd 2.82, 5 Nd 2.96-3.08

LuAlNi: optimized geometry, PBE.

The calculation puts the density of states at the Fermi level at 3.4 states/eV per cell. As for the space group: I4mm, No. 107. Its crystal system is tetragonal. The total energy comes out at -5.135 eV per atom. Its formation energy is -44 kJ/mol of atoms.

a = 3.1203 Å, b = 3.1203 Å, c = 10.6356 Å
α = 90.00°, β = 90.00°, γ = 90.00°
Closest atoms and distances in Å follow each position.
Element x y z (fractional)
1 Lu 0.0000 0.0000 0.0000  4 Ni 2.87, 5 Al 3.06-3.16, 4 Lu 3.12
2 Lu 0.5000 0.5000 0.5000  4 Ni 2.87, 5 Al 3.06-3.16, 4 Lu 3.12
3 Al 0.0000 0.0000 0.2879  4 Ni 2.53
4 Al 0.5000 0.5000 0.7879  4 Ni 2.53
5 Ni 0.0000 0.0000 0.6724  4 Al 2.53
6 Ni 0.5000 0.5000 0.1724  4 Al 2.53